## TiTe4Mo2Se2 (PBE)

Data for a geometry-optimized TiTe4Mo2Se2 structure.

Results
magnetization = 0.00 μB per formula unit
crystal system = trigonal
formation energy without anion corrections = -0.520 eV per atom
density of states at the Fermi level = 3.65 states/eV/f.u.
space group = P3m1, No. 156
ρ = 6.223 g/cm³

Structure (extended XYZ):
```
9
Lattice="3.5343 0.0000 0.0000 -1.7671 3.0608 0.0000 0.0000 0.0000 22.3993" Properties=species:S:1:pos:R:3 pbc="T T T"
Se 1.7671 1.0203 5.7824
Se 1.7671 1.0203 9.0037
Te 1.7671 1.0203 1.4015
Te 1.7671 1.0203 20.1614
Te 0.0000 0.0000 16.3282
Te 0.0000 0.0000 12.6865
Mo 1.7671 1.0203 14.5091
Mo 0.0000 0.0000 21.9807
Ti 0.0000 0.0000 7.3913
```

***

## VTe4Mo2Se2 (PBE)

Data for a geometry-optimized VTe4Mo2Se2 structure.

Results
magnetization = 0.96 μB per formula unit
crystal system = trigonal
formation energy without anion corrections = -0.406 eV per atom
density of states at the Fermi level = 3.65 states/eV/f.u.
space group = P3m1, No. 156
ρ = 6.338 g/cm³

Structure (extended XYZ):
```
9
Lattice="-0.3950 -2.3539 -2.5448 2.7457 2.1525 -0.0255 11.8949 -15.0303 12.0571" Properties=species:S:1:pos:R:3 pbc="T T T"
Mo 8.3318 -10.5561 6.0796
Mo 11.6973 -14.7806 11.8568
Te 11.3841 -14.4128 9.1735
Te 1.4196 -1.8218 -0.9269
Te 8.6450 -10.9238 8.7629
Te 6.7138 -8.4835 6.8053
Se 3.7558 -4.7738 1.4411
Se 5.3999 -6.8513 3.1077
V 3.9256 -4.9604 3.9791
```

***

Question: The highest magnetization belongs to which entry?
Answer: VTe4Mo2Se2